# 1
La6RhPb (PBE-GGA, optimized geometry); DOS at the Fermi energy = 1.2714 states/eV per atom; SG = No. 12; total moment = 0.0 μB/f.u.; E_tot = -5.364 eV/atom; DFT formation energy = -0.29 eV/atom
1.0
-2.119 -3.045 5.510
0.794 -8.317 -1.300
5.155 -4.004 1.265
Pb La Rh
1 6 1
direct
0.000 0.000 0.000
0.203 0.401 0.398
0.203 0.799 0.602
0.797 0.201 0.398
0.797 0.599 0.602
0.601 0.797 0.000
0.399 0.203 0.000
0.500 0.500 0.000

=====

# 2
La12Rh6Pb (PBE-GGA, optimized geometry); DOS at the Fermi energy = 0.8299 states/eV per atom; SG = No. 204; total moment = 0.0 μB/f.u.; E_tot = -6.240 eV/atom; DFT formation energy = -0.61 eV/atom
1.0
-7.669 -0.317 -4.715
5.194 -7.010 -2.240
-1.872 -0.342 8.804
La Rh Pb
12 6 1
direct
0.690 0.872 0.182
0.818 0.310 0.128
0.310 0.493 0.182
0.872 0.182 0.690
0.310 0.128 0.818
0.128 0.818 0.310
0.182 0.690 0.872
0.690 0.507 0.818
0.507 0.818 0.690
0.493 0.182 0.310
0.818 0.690 0.507
0.182 0.310 0.493
0.861 0.361 0.500
0.361 0.500 0.861
0.639 0.500 0.139
0.500 0.139 0.639
0.500 0.861 0.361
0.139 0.639 0.500
0.000 0.000 0.000

=====

# 3
La4RhPb2 (PBE-GGA, optimized geometry); DOS at the Fermi energy = 0.6383 states/eV per atom; ΔE to the lowest computed polymorph = 0.038 eV/atom; SG = No. 139; total moment = 0.0 μB/f.u.; E_tot = -5.466 eV/atom; DFT formation energy = -0.54 eV/atom
1.0
-3.191 1.994 3.704
-0.036 -4.662 2.478
8.639 3.794 1.637
La Rh Pb
4 1 2
direct
0.000 0.500 0.000
0.178 0.178 0.355
0.500 0.000 0.000
0.822 0.822 0.645
0.000 0.000 0.000
0.362 0.362 0.724
0.638 0.638 0.276

=====

# 4
LaRh2Pb2 (PBE-GGA, optimized geometry); DOS at the Fermi energy = 0.6268 states/eV per atom; SG = No. 139; total moment = 0.0 μB/f.u.; E_tot = -5.724 eV/atom; DFT formation energy = -0.31 eV/atom
1.0
4.480 0.000 0.000
0.000 4.480 0.000
2.240 2.240 5.967
La Rh Pb
1 2 2
direct
0.000 0.000 0.000
0.750 0.250 0.500
0.250 0.750 0.500
0.373 0.373 0.253
0.627 0.627 0.747

=====

# 5
La8Rh2Pb (PBE-GGA, optimized geometry); DOS at the Fermi energy = 1.3121 states/eV per atom; SG = No. 12; total moment = 0.0 μB/f.u.; E_tot = -5.633 eV/atom; DFT formation energy = -0.38 eV/atom
1.0
5.661 -0.044 -0.066
-0.997 8.387 -0.354
-0.997 -3.557 7.604
La Pb Rh
8 1 2
direct
0.053 0.329 0.084
0.500 0.750 0.250
0.698 0.402 0.402
0.947 0.916 0.671
0.302 0.598 0.598
0.947 0.671 0.916
0.053 0.084 0.329
0.500 0.250 0.750
0.500 0.000 0.000
0.000 0.714 0.286
0.000 0.286 0.714

=====

# 6
LaRhPb (PBE-GGA, optimized geometry); DOS at the Fermi energy = 0.7223 states/eV per atom; SG = No. 12; total moment = 0.0 μB/f.u.; E_tot = -5.914 eV/atom; DFT formation energy = -0.58 eV/atom
1.0
4.493 0.000 0.000
2.246 6.191 -0.102
2.246 1.038 5.384
La Pb Rh
2 2 2
direct
0.571 0.662 0.196
0.429 0.338 0.804
0.826 0.079 0.270
0.174 0.921 0.730
0.847 0.671 0.635
0.153 0.329 0.365

=====

# 7
LaRhPb3 (PBE-GGA, optimized geometry); DOS at the Fermi energy = 0.3821 states/eV per atom; ΔE to the lowest computed polymorph = 0.000 eV/atom; SG = No. 221; total moment = 0.0 μB/f.u.; E_tot = -4.734 eV/atom; DFT formation energy = -0.05 eV/atom
1.0
-1.126 4.028 -3.299
-2.300 -3.413 -3.382
-4.671 0.710 2.461
Pb La Rh
3 1 1
direct
0.500 0.000 0.000
0.000 0.500 0.000
0.000 0.000 0.500
0.500 0.500 0.500
0.000 0.000 0.000

=====

# 8
LaRh2Pb2 (PBE-GGA, optimized geometry); DOS at the Fermi energy = 0.6857 states/eV per atom; SG = No. 11; total moment = 0.0 μB/f.u.; E_tot = -5.829 eV/atom; DFT formation energy = -0.42 eV/atom
1.0
-1.701 -3.621 -2.645
2.314 1.775 -3.918
7.629 -6.102 3.446
La Pb Rh
2 4 4
direct
0.750 0.717 0.741
0.250 0.283 0.259
0.750 0.824 0.388
0.250 0.736 0.997
0.750 0.264 0.003
0.250 0.176 0.612
0.250 0.198 0.870
0.250 0.638 0.480
0.750 0.362 0.520
0.750 0.802 0.130

=====

# 9
LaRhPb (PBE-GGA, optimized geometry); DOS at the Fermi energy = 0.7908 states/eV per atom; SG = No. 187; total moment = 0.0 μB/f.u.; E_tot = -5.855 eV/atom; DFT formation energy = -0.53 eV/atom
1.0
2.378 -4.118 0.000
2.378 4.118 0.000
0.000 0.000 3.930
Pb La Rh
1 1 1
direct
0.333 0.667 0.500
0.000 0.000 0.000
0.667 0.333 0.500

=====

# 10
La8RhPb2 (PBE-GGA, optimized geometry); DOS at the Fermi energy = 1.3484 states/eV per atom; SG = No. 12; total moment = 0.0 μB/f.u.; E_tot = -5.312 eV/atom; DFT formation energy = -0.39 eV/atom
1.0
-4.439 -2.554 2.260
3.883 -5.711 1.173
2.451 7.561 6.427
Pb La Rh
2 8 1
direct
0.170 0.713 0.340
0.830 0.287 0.660
0.414 0.576 0.827
0.644 0.963 0.289
0.356 0.037 0.711
0.995 0.215 0.989
0.217 0.294 0.434
0.586 0.424 0.173
0.783 0.706 0.566
0.005 0.785 0.011
0.500 0.000 0.000

=====

# 11
LaRh2Pb2 (PBE-GGA, optimized geometry); DOS at the Fermi energy = 0.7913 states/eV per atom; SG = No. 127; total moment = 0.0 μB/f.u.; E_tot = -5.671 eV/atom; DFT formation energy = -0.26 eV/atom
1.0
-5.832 3.528 2.562
-2.070 -6.006 3.559
2.301 1.272 3.484
Pb La Rh
4 2 4
direct
0.158 0.658 0.500
0.658 0.842 0.500
0.842 0.342 0.500
0.342 0.158 0.500
0.000 0.000 0.000
0.500 0.500 0.000
0.867 0.633 0.000
0.133 0.367 0.000
0.367 0.867 0.000
0.633 0.133 0.000

=====

# 12
La4RhPb (PBE-GGA, optimized geometry); DOS at the Fermi energy = 1.0452 states/eV per atom; ΔE to the lowest computed polymorph = 0.012 eV/atom; SG = No. 15; total moment = 0.0 μB/f.u.; E_tot = -5.623 eV/atom; DFT formation energy = -0.49 eV/atom
1.0
6.228 -0.366 0.000
-2.026 8.344 0.000
-2.101 -3.989 7.362
La Rh Pb
8 2 2
direct
0.648 0.076 0.379
0.950 0.802 0.143
0.694 0.341 0.143
0.050 0.198 0.857
0.768 0.697 0.621
0.232 0.303 0.379
0.306 0.659 0.857
0.352 0.924 0.621
0.248 0.998 0.996
0.752 0.002 0.004
0.633 0.383 0.766
0.367 0.617 0.234

=====

Question: Look up the DFT formation energy of the seventh one.
Answer: -0.05 eV/atom